No. 1
The following is a PBE-GGA calculation of a relaxed LiHfIn2 crystal, from Alexandria.

The structure in extended XYZ format:
```
4
Lattice="3.176 0.000 0.000 0.000 5.173 0.000 0.000 0.000 5.173" Properties=species:S:1:pos:R:3 pbc="T T T"
Li 1.588 0.000 0.000
Hf 1.588 2.587 2.587
In 0.000 0.000 2.587
In 0.000 2.587 0.000
```

Output
Symmetry   P4/mmm (123)
Total energy   -4.527 eV/atom
Energy relative to the elements   -0.1912 eV/atom
Total magnetization   0.14 μB/f.u.



No. 2
The following is a PBE-GGA calculation of a relaxed Ba2AlGa crystal, from Alexandria.

The structure in extended XYZ format:
```
4
Lattice="2.800 3.793 3.452 -3.022 4.001 3.000 -0.467 -0.441 5.808" Properties=species:S:1:pos:R:3 pbc="T T T"
Ba -0.172 1.838 3.065
Ba -0.517 5.515 9.195
Ga -0.344 3.677 6.130
Al 0.000 0.000 0.000
```

Output
Symmetry   Fm-3m (225)
Total energy   -2.800 eV/atom
Energy relative to the elements   -0.1459 eV/atom
Total magnetization   0.00 μB/f.u.
Energy above the lowest structure with this stoichiometry   155.5 meV per atom



No. 3
The following is a PBE-GGA calculation of a relaxed CsAlSeN2 crystal, from Alexandria.

The structure in extended XYZ format:
```
5
Lattice="4.366 0.000 0.000 0.000 4.366 0.000 0.000 0.000 7.250" Properties=species:S:1:pos:R:3 pbc="T T T"
Cs 0.000 0.000 0.000
Al 2.183 2.183 3.625
Se 0.000 0.000 3.625
N 0.000 2.183 0.000
N 2.183 0.000 0.000
```

Output
Symmetry   P4/mmm (123)
Total energy   -2.767 eV/atom
ΔE_f (raw)   2.179 eV per atom
Total magnetization   2.10 μB/f.u.
Energy above the lowest structure with this stoichiometry   1428.0 meV per atom